A geometry-optimized La2Ga3AgPd4 structure. Source: Alexandria, functional GGA-PBE.

Lattice parameters (Å, degrees): 4.3312 4.3312 10.8362 90.00 90.00 90.00
Last column: nearest neighbours and their distance in Å.
Positions (direct):
La  0.0000  0.5000  0.2491  8 Pd 3.26-3.46, 6 Ga 3.36-3.48, 2 Ag 3.48
La  0.5000  0.0000  0.7509  8 Pd 3.26-3.46, 6 Ga 3.36-3.48, 2 Ag 3.48
Ga  0.0000  0.5000  0.8788  5 Pd 2.49-2.53
Ga  0.5000  0.0000  0.1212  5 Pd 2.49-2.53
Ga  0.5000  0.5000  0.5000  4 Pd 2.70
Ag  0.0000  0.0000  0.5000  4 Pd 2.70
Pd  0.0000  0.0000  0.0000  4 Ga 2.53
Pd  0.0000  0.5000  0.6491  3 Ga 2.49-2.70, 2 Ag 2.70
Pd  0.5000  0.0000  0.3509  3 Ga 2.49-2.70, 2 Ag 2.70
Pd  0.5000  0.5000  0.0000  4 Ga 2.53

**DFT total energy**: -49.9 eV for the cell shown
**Symmetry**: P-4m2
**ΔH_f (0 K)**: -0.73 eV per atom